Entry 1:
First-principles (PBE-GGA) data for a relaxed structure of DyGeW, as listed in the Alexandria database.

Unit cell a=3.9257 b=3.9257 c=7.7698 alpha=90.00 beta=90.00 gamma=90.00
Closest atoms and distances in Å follow each position.
Sites, in units of the cell vectors:
Dy  0.2500  0.2500  0.1448  5 Ge 2.91-3.14
Dy  0.7500  0.7500  0.8552  5 Ge 2.91-3.14
Ge  0.2500  0.2500  0.7410  4 W 2.71, 4 Dy 2.91
Ge  0.7500  0.7500  0.2590  4 W 2.71, 4 Dy 2.91
W  0.2500  0.7500  0.5000  4 Ge 2.71, 4 W 2.78
W  0.7500  0.2500  0.5000  4 Ge 2.71, 4 W 2.78

Output
magnetization = 0.51 μB/cell
energy of formation from the pure elements = -38.31 kJ/mol of atoms
ρ = 11.62 g/cm3
DOS(E_F) = 0.721 states/eV per atom

***

Entry 2:
First-principles (PBE-GGA) data for a relaxed structure of BaSrCd6, as listed in the Alexandria database.

Unit cell a=4.9581 b=6.9540 c=6.9122 alpha=90.00 beta=90.00 gamma=90.00
Closest atoms and distances in Å follow each position.
Sites, in units of the cell vectors:
Ba  0.0000  0.0000  0.0000  12 Cd 3.63-4.06
Sr  0.5000  0.5000  0.2071  10 Cd 3.53-3.70
Cd  0.0000  0.2492  0.4694  5 Cd 3.07-3.10
Cd  0.0000  0.5000  0.8402  6 Cd 3.03-3.10
Cd  0.0000  0.7508  0.4694  5 Cd 3.07-3.10
Cd  0.5000  0.0000  0.3913  6 Cd 3.03-3.07
Cd  0.5000  0.2730  0.7334  6 Cd 3.03-3.16
Cd  0.5000  0.7270  0.7334  6 Cd 3.03-3.16

Output
magnetization = 0.00 μB/cell
energy of formation from the pure elements = -25.84 kJ/mol of atoms
ρ = 6.27 g/cm3
DOS(E_F) = 0.579 states/eV per atom

***

Entry 3:
First-principles (PBE-GGA) data for a relaxed structure of PmZn3Ge2, as listed in the Alexandria database.

Unit cell a=7.9471 b=7.9471 c=8.3926 alpha=119.84 beta=119.84 gamma=31.12
Closest atoms and distances in Å follow each position.
Sites, in units of the cell vectors:
Pm  0.1492  0.1492  0.2241  7 Ge 3.04-3.31, 2 Zn 3.20
Pm  0.8508  0.8508  0.7759  7 Ge 3.04-3.31, 2 Zn 3.20
Zn  0.0729  0.0729  0.7602  3 Ge 2.53-2.61, 1 Zn 2.73
Zn  0.2811  0.2811  0.9722  3 Zn 2.48-2.73, 2 Ge 2.57
Zn  0.4149  0.4149  0.5169  3 Ge 2.50-2.59, 1 Zn 2.76
Zn  0.5851  0.5851  0.4831  3 Ge 2.50-2.59, 1 Zn 2.76
Zn  0.7189  0.7189  0.0278  3 Zn 2.48-2.73, 2 Ge 2.57
Zn  0.9271  0.9271  0.2398  3 Ge 2.53-2.61, 1 Zn 2.73
Ge  0.1821  0.1821  0.6142  4 Zn 2.50-2.57
Ge  0.4757  0.4757  0.1229  1 Ge 2.53, 4 Zn 2.57-2.61
Ge  0.5243  0.5243  0.8771  1 Ge 2.53, 4 Zn 2.57-2.61
Ge  0.8179  0.8179  0.3858  4 Zn 2.50-2.57

Output
magnetization = 0.00 μB/cell
energy of formation from the pure elements = -28.43 kJ/mol of atoms
ρ = 6.89 g/cm3
DOS(E_F) = 0.277 states/eV per atom

***

Entry 4:
First-principles (PBE-GGA) data for a relaxed structure of NdHo3Ru, as listed in the Alexandria database.

Unit cell a=5.3881 b=5.3881 c=5.3881 alpha=90.00 beta=90.00 gamma=90.00
Closest atoms and distances in Å follow each position.
Sites, in units of the cell vectors:
Nd  0.0000  0.0000  0.0000  12 Ho 3.81
Ho  0.0000  0.5000  0.5000  2 Ru 2.69
Ho  0.5000  0.0000  0.5000  2 Ru 2.69
Ho  0.5000  0.5000  0.0000  2 Ru 2.69
Ru  0.5000  0.5000  0.5000  6 Ho 2.69

Output
magnetization = 0.41 μB/cell
energy of formation from the pure elements = -9.09 kJ/mol of atoms
ρ = 7.86 g/cm3
excess energy over the best structure of this formula in the dataset = 0.090 eV/atom
DOS(E_F) = 1.681 states/eV per atom

***

no.,total DFT energy (no corrections) (eV per atom)
1,-7.79
2,-1.40
3,-3.26
4,-5.65